Record 1
Computed, not measured: a geometry-optimized PrTmSn6 structure at the PBE level of DFT.

- SG: P4/mmm, No. 123
- Crystal system: tetragonal
- Volume: 213.7 Å³ per cell
- Total magnetic moment: 0.00 μB/f.u.
- ΔE_f: -3.5 eV/f.u.
- E: -4.597 eV/atom
- Calculated density: 7.94 g/cm3

Lattice parameters (Å, degrees): 4.8081 4.8081 9.2459 90.00 90.00 90.00
Closest atoms and distances in Å follow each position.
Positions (direct):
Sn1 0.5000 0.0000 0.7422  8 Sn 3.29-3.40, 2 Tm 3.29, 2 Pr 3.39
Sn2 0.0000 0.5000 0.7422  8 Sn 3.29-3.40, 2 Tm 3.29, 2 Pr 3.39
Sn3 0.0000 0.5000 0.2578  8 Sn 3.29-3.40, 2 Tm 3.29, 2 Pr 3.39
Sn4 0.5000 0.5000 0.5000  8 Sn 3.29, 4 Tm 3.40
Sn5 0.5000 0.0000 0.2578  8 Sn 3.29-3.40, 2 Tm 3.29, 2 Pr 3.39
Sn6 0.5000 0.5000 0.0000  8 Sn 3.39, 4 Pr 3.40
Pr1 0.0000 0.0000 0.0000  12 Sn 3.39-3.40
Tm1 0.0000 0.0000 0.5000  12 Sn 3.29-3.40

Record 2
Computed, not measured: a geometry-optimized Pr6TmSn4 structure at the PBE level of DFT.

- SG: I-42m, No. 121
- Crystal system: tetragonal
- Volume: 395.9 Å³ per cell
- Total magnetic moment: 0.00 μB/f.u.
- ΔE_f: -3.8 eV/f.u.
- E: -4.816 eV/atom
- Calculated density: 6.25 g/cm3

Lattice parameters (Å, degrees): 8.3546 8.3546 8.3546 85.80 122.45 122.45
Closest atoms and distances in Å follow each position.
Positions (direct):
Sn1 0.0000 0.1646 0.6331  6 Pr 3.11-3.33, 1 Tm 3.27
Sn2 0.0000 0.6331 0.1646  6 Pr 3.11-3.33, 1 Tm 3.27
Sn3 0.4685 0.8354 0.8354  6 Pr 3.11-3.33, 1 Tm 3.27
Sn4 0.5315 0.3669 0.3669  6 Pr 3.11-3.33, 1 Tm 3.27
Pr1 0.5000 0.5000 0.0000  4 Sn 3.11
Pr2 0.3200 0.4984 0.4984  4 Sn 3.14-3.33
Pr3 0.0000 0.5016 0.8216  4 Sn 3.14-3.33
Pr4 0.6800 0.1784 0.1784  4 Sn 3.14-3.33
Pr5 0.0000 0.8216 0.5016  4 Sn 3.14-3.33
Pr6 0.5000 0.0000 0.5000  4 Sn 3.11
Tm1 0.0000 0.0000 0.0000  4 Sn 3.27

Record 3
Computed, not measured: a geometry-optimized PrTm2Sn structure at the PBE level of DFT.

- SG: Cmcm, No. 63
- Crystal system: orthorhombic
- Volume: 248.8 Å³ per cell
- Total magnetic moment: 0.92 μB/f.u.
- ΔE_f: -1.5 eV/f.u.
- E: -4.804 eV/atom
- Energy above the lowest structure with this stoichiometry: 54 meV per atom
- Calculated density: 7.98 g/cm3

Lattice parameters (Å, degrees): 4.3017 6.5992 9.2700 90.00 90.00 109.02
Closest atoms and distances in Å follow each position.
Positions (direct):
Tm1 0.6370 0.2741 0.4497  3 Sn 3.12-3.17
Tm2 0.6370 0.2741 0.0503  3 Sn 3.12-3.17
Tm3 0.3630 0.7259 0.9497  3 Sn 3.12-3.17
Tm4 0.3630 0.7259 0.5503  3 Sn 3.12-3.17
Sn1 0.2418 0.4835 0.2500  6 Tm 3.12-3.17, 2 Pr 3.32
Sn2 0.7582 0.5165 0.7500  6 Tm 3.12-3.17, 2 Pr 3.32
Pr1 0.0556 0.1112 0.7500  3 Sn 3.32-3.71, 4 Tm 3.66
Pr2 0.9444 0.8888 0.2500  3 Sn 3.32-3.71, 4 Tm 3.66

Record 4
Computed, not measured: a geometry-optimized Pr3TmSn2 structure at the PBE level of DFT.

- SG: Ibam, No. 72
- Crystal system: orthorhombic
- Volume: 380.2 Å³ per cell
- Total magnetic moment: 0.00 μB/f.u.
- ΔE_f: -3.4 eV/f.u.
- E: -5.040 eV/atom
- Energy above the lowest structure with this stoichiometry: 0 meV per atom
- Calculated density: 7.24 g/cm3

Lattice parameters (Å, degrees): 6.6228 6.5848 9.8904 109.44 109.56 90.00
Closest atoms and distances in Å follow each position.
Positions (direct):
Pr1 0.5000 0.2500 0.0000  2 Pr 3.29, 2 Tm 3.31, 4 Sn 3.36
Pr2 0.0791 0.8249 0.6498  5 Sn 3.29-3.41
Pr3 0.5707 0.3249 0.6498  5 Sn 3.29-3.41
Pr4 0.4293 0.6751 0.3502  5 Sn 3.29-3.41
Pr5 0.9209 0.1751 0.3502  5 Sn 3.29-3.41
Pr6 0.5000 0.7500 0.0000  2 Pr 3.29, 2 Tm 3.31, 4 Sn 3.36
Sn1 0.6231 0.8638 0.7276  7 Pr 3.29-3.41, 2 Tm 3.30
Sn2 0.1044 0.3638 0.7276  7 Pr 3.29-3.41, 2 Tm 3.30
Sn3 0.3769 0.1362 0.2724  7 Pr 3.29-3.41, 2 Tm 3.30
Sn4 0.8956 0.6362 0.2724  7 Pr 3.29-3.41, 2 Tm 3.30
Tm1 0.0000 0.2500 0.0000  2 Tm 3.29, 4 Sn 3.30, 2 Pr 3.31
Tm2 0.0000 0.7500 0.0000  2 Tm 3.29, 4 Sn 3.30, 2 Pr 3.31

Record 5
Computed, not measured: a geometry-optimized PrTm2Zn2Sn2 structure at the PBE level of DFT.

- SG: R-3m, No. 166
- Crystal system: trigonal
- Volume: 175.5 Å³ per cell
- Total magnetic moment: 0.00 μB/f.u.
- ΔE_f: -2.3 eV/f.u.
- E: -3.802 eV/atom
- Calculated density: 8.01 g/cm3

Lattice parameters (Å, degrees): 4.7179 4.7179 9.5046 75.63 75.63 60.00
Closest atoms and distances in Å follow each position.
Positions (direct):
Zn1 0.4272 0.4272 0.7183  3 Sn 2.80, 3 Tm 2.93
Zn2 0.5728 0.5728 0.2817  3 Sn 2.80, 3 Tm 2.93
Tm1 0.1330 0.1330 0.6011  3 Zn 2.93, 3 Sn 3.22
Tm2 0.8670 0.8670 0.3989  3 Zn 2.93, 3 Sn 3.22
Sn1 0.2629 0.2629 0.2113  3 Zn 2.80
Sn2 0.7371 0.7371 0.7887  3 Zn 2.80
Pr1 0.0000 0.0000 0.0000  6 Sn 3.34, 2 Tm 3.63

Record 6
Computed, not measured: a geometry-optimized Pr2TmZn2Sn2 structure at the PBE level of DFT.

- SG: R-3m, No. 166
- Crystal system: trigonal
- Volume: 181.3 Å³ per cell
- Total magnetic moment: 0.00 μB/f.u.
- ΔE_f: -2.4 eV/f.u.
- E: -3.854 eV/atom
- Calculated density: 7.50 g/cm3

Lattice parameters (Å, degrees): 4.7011 4.7011 9.8537 76.20 76.20 60.00
Closest atoms and distances in Å follow each position.
Positions (direct):
Sn1 0.2725 0.2725 0.1824  3 Zn 2.74
Sn2 0.7275 0.7275 0.8176  3 Zn 2.74
Zn1 0.5915 0.5915 0.2254  3 Sn 2.74
Zn2 0.4085 0.4085 0.7746  3 Sn 2.74
Tm1 0.0000 0.0000 0.0000  6 Sn 3.22, 6 Zn 3.45
Pr1 0.1280 0.1280 0.6161  3 Zn 3.10, 3 Sn 3.32
Pr2 0.8720 0.8720 0.3839  3 Zn 3.10, 3 Sn 3.32